Material: NaSrSnPt
Method: DFT, PBE
State: optimized geometry

Lattice parameters (Å, degrees): 5.0963 5.0963 5.0963 60.00 60.00 60.00
Element x y z (fractional)
Na  0.0000  0.0000  0.0000
Sr  0.7500  0.7500  0.7500
Sn  0.2500  0.2500  0.2500
Pt  0.5000  0.5000  0.5000

Summary:
Energy relative to the elements, eV per atom: -0.46
Crystal system: cubic
Density, Mg/m³: 7.53